(1)
Material: CeHo2Hg5
Method: DFT, GGA-PBE
State: relaxed

Properties
* calculated total energy: -2.469 eV/atom
* volume: 406 Å³/cell
* formation energy: -0.395 eV per atom

Unit cell a=5.269 b=5.269 c=14.622 alpha=90.00 beta=90.00 gamma=90.00
Space group I4/mmm (No. 139)
One atom of each set of equivalent atoms:
Ce  0.000  0.000  0.000 x2
Ho  0.000  0.000  0.267 x4
Hg  0.000  0.000  0.500 x2
Hg  0.000  0.500  0.129 x8

(2)
Material: Mo2RhW
Method: DFT, GGA-PBE
State: relaxed

Properties
* calculated total energy: -10.371 eV/atom
* volume: 62 Å³/cell
* distance to the lowest polymorph of the same formula: 0.44 eV/f.u.
* formation energy: 0.121 eV per atom

Unit cell a=2.697 b=4.043 c=5.731 alpha=90.00 beta=90.00 gamma=90.00
Space group Pmmm (No. 47)
One atom of each set of equivalent atoms:
Mo  0.000  0.000  0.242 x2
Rh  0.500  0.500  0.000 x1
W  0.500  0.500  0.500 x1

(3)
Material: In3BiSe
Method: DFT, GGA-PBE
State: relaxed

Properties
* formation energy from raw total energies: -141 meV per atom
* calculated total energy: -3.258 eV/atom
* volume: 315 Å³/cell
* distance to the lowest polymorph of the same formula: 0.00 eV/f.u.

Unit cell a=4.504 b=7.068 c=10.313 alpha=106.44 beta=90.04 gamma=90.06
Space group P-1 (No. 2)
One atom of each set of equivalent atoms:
In  0.247  0.031  0.184 x2
In  0.247  0.300  0.534 x2
In  0.248  0.662  0.975 x2
Bi  0.253  0.470  0.222 x2
Se  0.252  0.970  0.652 x2

(4)
Material: PrSm2Dy4Th
Method: DFT, GGA-PBE
State: relaxed

Properties
* calculated total energy: -4.977 eV/atom
* volume: 262 Å³/cell
* formation energy: 0.029 eV per atom

Unit cell a=5.095 b=5.115 c=10.045 alpha=90.00 beta=90.00 gamma=90.00
Space group Pmmm (No. 47)
One atom of each set of equivalent atoms:
Pr  0.000  0.000  0.000 x1
Sm  0.000  0.000  0.500 x1
Sm  0.500  0.500  0.000 x1
Dy  0.000  0.500  0.256 x2
Dy  0.500  0.000  0.256 x2
Th  0.500  0.500  0.500 x1

(5)
Material: InCCl2
Method: DFT, GGA-PBE
State: relaxed

Properties
* formation energy from raw total energies: 1079 meV per atom
* calculated total energy: -2.835 eV/atom
* volume: 395 Å³/cell
* distance to the lowest polymorph of the same formula: 0.55 eV/f.u.

Unit cell a=4.4099 b=4.4099 c=23.4254 alpha=90.00 beta=90.00 gamma=120.00
Space group R-3m (No. 166, hexagonal axes)
One atom of each set of equivalent atoms:
In  0.0000  0.0000  0.0000 x3
C  0.0000  0.0000  0.5000 x3
Cl  0.0000  0.0000  0.4074 x6

(6)
Material: SnAsIrSe2
Method: DFT, GGA-PBE
State: relaxed

Properties
* formation energy from raw total energies: 1477 meV per atom
* calculated total energy: -3.419 eV/atom
* volume: 136 Å³/cell
* distance to the lowest polymorph of the same formula: 5.92 eV/f.u.

Unit cell a=5.129 b=5.129 c=5.183 alpha=90.00 beta=90.00 gamma=90.00
Space group P4/mmm (No. 123)
One atom of each set of equivalent atoms:
Sn  0.000  0.000  0.000 x1
As  0.000  0.000  0.500 x1
Ir  0.500  0.500  0.500 x1
Se  0.000  0.500  0.000 x2